1.
The following is a GGA-PBE calculation of a relaxed V3CoGe6 crystal, from the Alexandria database.

a = 6.3455 Å, b = 6.2079 Å, c = 8.0273 Å
α = 90.00°, β = 85.25°, γ = 90.00°
With the nearest neighbours (Å) after each atom.
Element x y z (fractional)
Ge (0.2148, 0.9861, 0.7471)  1 Co 2.35, 2 V 2.50-2.56
Ge (0.3499, 0.8682, 0.0431)  1 Co 2.42, 3 V 2.49-2.66, 2 Ge 2.56-2.69
Co (0.5000, 0.5000, 0.5000)  6 Ge 2.35-2.42
Ge (0.1243, 0.3450, 0.0633)  1 Co 2.35, 1 V 2.58
V (0.5715, 0.7937, 0.7525)  7 Ge 2.54-2.73, 1 V 2.71, 1 Co 2.79
Ge (0.7148, 0.5139, 0.2471)  1 Co 2.35, 2 V 2.50-2.56
Ge (0.2852, 0.4861, 0.7529)  1 Co 2.35, 2 V 2.50-2.56
Ge (0.8499, 0.6318, 0.5431)  1 Co 2.42, 3 V 2.49-2.66, 2 Ge 2.56-2.69
Ge (0.7852, 0.0139, 0.2529)  1 Co 2.35, 2 V 2.50-2.56
V (0.4285, 0.2063, 0.2475)  7 Ge 2.54-2.73, 1 V 2.71, 1 Co 2.79
Ge (0.8757, 0.6550, 0.9367)  1 Co 2.35, 1 V 2.58
Ge (0.3757, 0.8450, 0.4367)  1 Co 2.35, 1 V 2.58
Ge (0.1501, 0.3682, 0.4569)  1 Co 2.42, 3 V 2.49-2.66, 2 Ge 2.56-2.69
V (0.9285, 0.2937, 0.7475)  7 Ge 2.54-2.73, 1 V 2.71, 1 Co 2.79
V (0.5000, 0.5000, 0.0000)  6 Ge 2.49-2.58, 2 V 2.71
Co (0.0000, 0.0000, 0.0000)  6 Ge 2.35-2.42
V (0.0000, 0.0000, 0.5000)  6 Ge 2.49-2.58, 2 V 2.71
Ge (0.6501, 0.1318, 0.9569)  1 Co 2.42, 3 V 2.49-2.66, 2 Ge 2.56-2.69
Ge (0.6243, 0.1550, 0.5633)  1 Co 2.35, 1 V 2.58
V (0.0715, 0.7063, 0.2525)  7 Ge 2.54-2.73, 1 V 2.71, 1 Co 2.79

Calculated values
**Crystal system**: monoclinic
**ΔE_f**: -15 meV per atom
**DOS at the Fermi energy**: 14.2 states/eV/cell
**Energy**: -6.232 eV/atom

***

2.
The following is a GGA-PBE calculation of a relaxed VCo4Ge crystal, from the Alexandria database.

a = 6.2496 Å, b = 6.5976 Å, c = 6.7125 Å
α = 133.02°, β = 131.83°, γ = 65.81°
With the nearest neighbours (Å) after each atom.
Element x y z (fractional)
Co (0.6109, 0.1375, 0.0269)  2 Ge 2.31-2.37, 2 V 2.33-2.49, 5 Co 2.40-2.52
Co (0.1869, 0.3067, 0.0296)  1 V 2.27, 1 Ge 2.37, 3 Co 2.43-2.52
V (0.4635, 0.4635, 0.9271)  6 Co 2.27-2.49
Ge (0.2579, 0.7579, 0.5159)  8 Co 2.31-2.57
Co (0.4073, 0.0271, 0.4704)  1 V 2.27, 1 Ge 2.37, 3 Co 2.43-2.52
Co (0.0631, 0.4433, 0.4704)  1 V 2.27, 1 Ge 2.37, 3 Co 2.43-2.52
Co (0.8340, 0.8606, 0.4731)  2 Ge 2.31-2.37, 2 V 2.33-2.49, 5 Co 2.40-2.52
Ge (0.9921, 0.9921, 0.9841)  8 Co 2.31-2.57
Co (0.4160, 0.8894, 0.0269)  2 Ge 2.31-2.37, 2 V 2.33-2.49, 5 Co 2.40-2.52
Co (0.6391, 0.6125, 0.4731)  2 Ge 2.31-2.37, 2 V 2.33-2.49, 5 Co 2.40-2.52
V (0.7865, 0.2865, 0.5729)  6 Co 2.27-2.49
Co (0.8427, 0.7229, 0.0296)  1 V 2.27, 1 Ge 2.37, 3 Co 2.43-2.52

Calculated values
**Crystal system**: monoclinic
**ΔE_f**: 128 meV per atom
**DOS at the Fermi energy**: 13.5 states/eV/cell
**Energy**: -6.898 eV/atom
**Energy above the lowest structure with this stoichiometry**: 151 meV/atom

***

3.
The following is a GGA-PBE calculation of a relaxed VCo4Ge2 crystal, from the Alexandria database.

a = 4.1871 Å, b = 4.1871 Å, c = 6.7497 Å
α = 71.93°, β = 71.93°, γ = 90.00°
With the nearest neighbours (Å) after each atom.
Element x y z (fractional)
Co (0.1835, 0.1835, 0.6330)  1 V 2.23, 1 Ge 2.35
Co (0.0000, 0.5000, 0.0000)  2 V 2.09
Co (0.5000, 0.0000, 0.0000)  2 V 2.09
V (0.0000, 0.0000, 0.0000)  6 Co 2.09-2.23
Ge (0.6226, 0.6226, 0.7548)  5 Co 2.35-2.57
Co (0.8165, 0.8165, 0.3670)  1 V 2.23, 1 Ge 2.35
Ge (0.3774, 0.3774, 0.2452)  5 Co 2.35-2.57

Calculated values
**Crystal system**: tetragonal
**ΔE_f**: 756 meV per atom
**DOS at the Fermi energy**: 9.8 states/eV/cell
**Energy**: -5.927 eV/atom
**Energy above the lowest structure with this stoichiometry**: 903 meV/atom

***

Please write out number 1 again, unchanged.
The following is a GGA-PBE calculation of a relaxed V3CoGe6 crystal, from the Alexandria database.

a = 6.3455 Å, b = 6.2079 Å, c = 8.0273 Å
α = 90.00°, β = 85.25°, γ = 90.00°
With the nearest neighbours (Å) after each atom.
Element x y z (fractional)
Ge (0.2148, 0.9861, 0.7471)  1 Co 2.35, 2 V 2.50-2.56
Ge (0.3499, 0.8682, 0.0431)  1 Co 2.42, 3 V 2.49-2.66, 2 Ge 2.56-2.69
Co (0.5000, 0.5000, 0.5000)  6 Ge 2.35-2.42
Ge (0.1243, 0.3450, 0.0633)  1 Co 2.35, 1 V 2.58
V (0.5715, 0.7937, 0.7525)  7 Ge 2.54-2.73, 1 V 2.71, 1 Co 2.79
Ge (0.7148, 0.5139, 0.2471)  1 Co 2.35, 2 V 2.50-2.56
Ge (0.2852, 0.4861, 0.7529)  1 Co 2.35, 2 V 2.50-2.56
Ge (0.8499, 0.6318, 0.5431)  1 Co 2.42, 3 V 2.49-2.66, 2 Ge 2.56-2.69
Ge (0.7852, 0.0139, 0.2529)  1 Co 2.35, 2 V 2.50-2.56
V (0.4285, 0.2063, 0.2475)  7 Ge 2.54-2.73, 1 V 2.71, 1 Co 2.79
Ge (0.8757, 0.6550, 0.9367)  1 Co 2.35, 1 V 2.58
Ge (0.3757, 0.8450, 0.4367)  1 Co 2.35, 1 V 2.58
Ge (0.1501, 0.3682, 0.4569)  1 Co 2.42, 3 V 2.49-2.66, 2 Ge 2.56-2.69
V (0.9285, 0.2937, 0.7475)  7 Ge 2.54-2.73, 1 V 2.71, 1 Co 2.79
V (0.5000, 0.5000, 0.0000)  6 Ge 2.49-2.58, 2 V 2.71
Co (0.0000, 0.0000, 0.0000)  6 Ge 2.35-2.42
V (0.0000, 0.0000, 0.5000)  6 Ge 2.49-2.58, 2 V 2.71
Ge (0.6501, 0.1318, 0.9569)  1 Co 2.42, 3 V 2.49-2.66, 2 Ge 2.56-2.69
Ge (0.6243, 0.1550, 0.5633)  1 Co 2.35, 1 V 2.58
V (0.0715, 0.7063, 0.2525)  7 Ge 2.54-2.73, 1 V 2.71, 1 Co 2.79

Calculated values
**Crystal system**: monoclinic
**ΔE_f**: -15 meV per atom
**DOS at the Fermi energy**: 14.2 states/eV/cell
**Energy**: -6.232 eV/atom